First-principles (PBE) data for a relaxed structure of Sm8Er5Sc, as listed in Alexandria via LeMat-Bulk.

Lattice parameters (Å, degrees): 8.4528 8.4528 8.4528 110.98 110.98 106.49
With the nearest neighbours (Å) after each atom.
Positions (direct):
Sm  0.0802  0.3399  0.6049  5 Er 3.34-3.58, 4 Sm 3.55-3.70
Sm  0.1669  0.4371  0.0959  1 Sc 3.15, 4 Er 3.16-3.49
Sm  0.3413  0.0710  0.9041  1 Sc 3.15, 4 Er 3.16-3.49
Sm  0.5247  0.9198  0.2597  5 Er 3.34-3.58, 4 Sm 3.55-3.70
Sm  0.5629  0.6587  0.7297  1 Sc 3.15, 4 Er 3.16-3.49
Sm  0.6601  0.2650  0.7403  5 Er 3.34-3.58, 4 Sm 3.55-3.70
Sm  0.7350  0.4753  0.3951  5 Er 3.34-3.58, 4 Sm 3.55-3.70
Sm  0.9290  0.8331  0.2703  1 Sc 3.15, 4 Er 3.16-3.49
Er  0.0301  0.7196  0.9005  8 Sm 3.34-3.58, 2 Er 3.48
Er  0.2804  0.1810  0.3105  8 Sm 3.34-3.58, 2 Er 3.48
Er  0.5000  0.5000  0.0000  8 Sm 3.16-3.34
Er  0.8190  0.1296  0.0995  8 Sm 3.34-3.58, 2 Er 3.48
Er  0.8704  0.9699  0.6895  8 Sm 3.34-3.58, 2 Er 3.48
Sc  0.2500  0.7500  0.5000  4 Sm 3.15

Properties
* total DFT energy (no corrections): -4.513 eV/atom
* formation energy: 266 meV per atom
* space-group type: I-4, No. 82

---

First-principles (PBE) data for a relaxed structure of ReSeNF2, as listed in Alexandria via LeMat-Bulk.

Lattice parameters (Å, degrees): 4.2449 4.2449 3.8439 90.00 90.00 90.00
With the nearest neighbours (Å) after each atom.
Positions (direct):
Re  0.0000  0.0000  0.0000  2 N 1.92, 4 F 2.12
Se  0.5000  0.5000  0.5000  8 F 2.86, 4 N 3.00
N  0.0000  0.0000  0.5000  2 Re 1.92
F  0.0000  0.5000  0.0000  2 Re 2.12
F  0.5000  0.0000  0.0000  2 Re 2.12

Properties
* total DFT energy (no corrections): -5.695 eV/atom
* raw formation energy: -95 meV per atom
* space-group type: P4/mmm, No. 123
* ΔE to the lowest computed polymorph: 0.000 eV per atom

---

First-principles (PBE) data for a relaxed structure of KLaCl2, as listed in Alexandria via LeMat-Bulk.

Lattice parameters (Å, degrees): 4.0108 4.0108 9.2407 90.00 90.00 122.78
With the nearest neighbours (Å) after each atom.
Positions (direct):
K  0.0000  0.0000  0.0000  4 Cl 2.98
La  0.0000  0.0000  0.5000  4 Cl 3.03
Cl  0.5000  0.5000  0.2464  2 K 2.98, 2 La 3.03
Cl  0.5000  0.5000  0.7536  2 K 2.98, 2 La 3.03

Properties
* total DFT energy (no corrections): -3.956 eV/atom
* raw formation energy: -1527 meV per atom
* space-group type: Cmmm, No. 65
* ΔE to the lowest computed polymorph: 0.141 eV per atom

---

First-principles (PBE) data for a relaxed structure of Ac2DySn5, as listed in Alexandria via LeMat-Bulk.

Lattice parameters (Å, degrees): 6.8283 6.8283 6.8283 113.76 113.76 101.19
With the nearest neighbours (Å) after each atom.
Positions (direct):
Ac  0.0000  0.5000  0.5000  10 Sn 3.40-3.73
Ac  0.5000  0.0000  0.5000  10 Sn 3.40-3.73
Dy  0.3934  0.3934  0.0000  5 Sn 3.29-3.36
Sn  0.0059  0.0059  0.0000  4 Sn 3.20, 1 Dy 3.36
Sn  0.5299  0.5299  0.5736  3 Sn 3.18-3.20, 1 Dy 3.29, 4 Ac 3.40-3.47
Sn  0.5299  0.9563  0.0000  3 Sn 3.18-3.20, 1 Dy 3.29, 4 Ac 3.40-3.47
Sn  0.9563  0.5299  0.0000  3 Sn 3.18-3.20, 1 Dy 3.29, 4 Ac 3.40-3.47
Sn  0.9563  0.9563  0.4264  3 Sn 3.18-3.20, 1 Dy 3.29, 4 Ac 3.40-3.47

Properties
* total DFT energy (no corrections): -4.664 eV/atom
* formation energy: -560 meV per atom
* space-group type: I4mm, No. 107

---

First-principles (PBE) data for a relaxed structure of Ac3Si4Hg2, as listed in Alexandria via LeMat-Bulk.

Lattice parameters (Å, degrees): 6.3573 6.3573 8.8181 97.25 97.25 41.08
With the nearest neighbours (Å) after each atom.
Positions (direct):
Ac  0.0000  0.0000  0.0000  8 Si 3.31-3.54, 4 Hg 3.41
Ac  0.3348  0.3348  0.3275  8 Si 3.28-3.49, 4 Hg 3.37-3.50
Ac  0.6652  0.6652  0.6725  8 Si 3.28-3.49, 4 Hg 3.37-3.50
Si  0.0611  0.0611  0.4040  1 Si 2.38, 2 Hg 2.61
Si  0.2712  0.2712  0.9544  2 Si 2.45, 1 Hg 2.61
Si  0.7288  0.7288  0.0456  2 Si 2.45, 1 Hg 2.61
Si  0.9389  0.9389  0.5960  1 Si 2.38, 2 Hg 2.61
Hg  0.3903  0.3903  0.7270  3 Si 2.61
Hg  0.6097  0.6097  0.2730  3 Si 2.61

Properties
* total DFT energy (no corrections): -4.361 eV/atom
* raw formation energy: -514 meV per atom
* space-group type: C2/m, No. 12

---

First-principles (PBE) data for a relaxed structure of CaY2Fe2, as listed in Alexandria via LeMat-Bulk.

Lattice parameters (Å, degrees): 7.6598 7.6598 4.0652 90.00 90.00 90.00
With the nearest neighbours (Å) after each atom.
Positions (direct):
Ca  0.0000  0.0000  0.0000  4 Fe 3.13, 8 Y 3.50
Ca  0.5000  0.5000  0.0000  4 Fe 3.13, 8 Y 3.50
Y  0.1685  0.3315  0.5000  6 Fe 2.96-3.19
Y  0.3315  0.8315  0.5000  6 Fe 2.96-3.19
Y  0.6685  0.1685  0.5000  6 Fe 2.96-3.19
Y  0.8315  0.6685  0.5000  6 Fe 2.96-3.19
Fe  0.1042  0.6042  0.0000  1 Fe 2.26
Fe  0.3958  0.1042  0.0000  1 Fe 2.26
Fe  0.6042  0.8958  0.0000  1 Fe 2.26
Fe  0.8958  0.3958  0.0000  1 Fe 2.26

Properties
* total DFT energy (no corrections): -6.224 eV/atom
* formation energy: 147 meV per atom
* space-group type: P4/mbm, No. 127
* ΔE to the lowest computed polymorph: 0.000 eV per atom

---

First-principles (PBE) data for a relaxed structure of ScAgRu2, as listed in Alexandria via LeMat-Bulk.

Lattice parameters (Å, degrees): 9.1065 9.1065 9.1065 18.41 18.41 18.41
With the nearest neighbours (Å) after each atom.
Positions (direct):
Sc  0.0000  0.0000  0.0000  6 Ru 2.71, 6 Sc 2.91
Ag  0.5000  0.5000  0.5000  6 Ru 2.89, 6 Ag 2.91
Ru  0.2543  0.2543  0.2543  3 Sc 2.71, 3 Ag 2.89, 6 Ru 2.91
Ru  0.7457  0.7457  0.7457  3 Sc 2.71, 3 Ag 2.89, 6 Ru 2.91

Properties
* total DFT energy (no corrections): -6.702 eV/atom
* formation energy: 232 meV per atom
* space-group type: R-3m, No. 166
* ΔE to the lowest computed polymorph: 0.204 eV per atom

---

First-principles (PBE) data for a relaxed structure of Tb8Y5Er, as listed in Alexandria via LeMat-Bulk.

Lattice parameters (Å, degrees): 8.4585 8.4585 8.4585 110.92 110.92 106.61
With the nearest neighbours (Å) after each atom.
Positions (direct):
Tb  0.1728  0.4071  0.5846  4 Y 3.14-3.46, 1 Er 3.23
Tb  0.3290  0.2246  0.2428  5 Y 3.34-3.54, 3 Tb 3.59-3.63
Tb  0.4117  0.8272  0.2343  4 Y 3.14-3.46, 1 Er 3.23
Tb  0.5929  0.1775  0.7657  4 Y 3.14-3.46, 1 Er 3.23
Tb  0.7754  0.0183  0.1044  5 Y 3.34-3.54, 3 Tb 3.59-3.63
Tb  0.8225  0.5883  0.4154  4 Y 3.14-3.46, 1 Er 3.23
Tb  0.9139  0.6710  0.8956  5 Y 3.34-3.54, 3 Tb 3.59-3.63
Tb  0.9817  0.0861  0.7572  5 Y 3.34-3.54, 3 Tb 3.59-3.63
Y  0.0628  0.4653  0.1802  8 Tb 3.34-3.54, 2 Y 3.56
Y  0.1174  0.9372  0.4024  8 Tb 3.34-3.54, 2 Y 3.56
Y  0.2850  0.8826  0.8198  8 Tb 3.34-3.54, 2 Y 3.56
Y  0.5347  0.7150  0.5976  8 Tb 3.34-3.54, 2 Y 3.56
Y  0.7500  0.2500  0.5000  8 Tb 3.14-3.34
Er  0.5000  0.5000  0.0000  4 Tb 3.23

Properties
* total DFT energy (no corrections): -5.016 eV/atom
* formation energy: 264 meV per atom
* space-group type: I-4, No. 82

---

First-principles (PBE) data for a relaxed structure of CePmCuSb, as listed in Alexandria via LeMat-Bulk.

Lattice parameters (Å, degrees): 5.2674 5.2674 5.2674 60.00 60.00 60.00
With the nearest neighbours (Å) after each atom.
Positions (direct):
Ce  0.0000  0.0000  0.0000  4 Sb 3.23, 4 Cu 3.23
Pm  0.5000  0.5000  0.5000  4 Sb 3.23, 4 Cu 3.23
Cu  0.2500  0.2500  0.2500  4 Pm 3.23, 4 Ce 3.23
Sb  0.7500  0.7500  0.7500  4 Ce 3.23, 4 Pm 3.23

Properties
* total DFT energy (no corrections): -5.172 eV/atom
* raw formation energy: -446 meV per atom
* space-group type: F-43m, No. 216

---

First-principles (PBE) data for a relaxed structure of Al2CdMo, as listed in Alexandria via LeMat-Bulk.

Lattice parameters (Å, degrees): 4.8871 4.8871 5.2342 98.08 98.08 33.66
With the nearest neighbours (Å) after each atom.
Positions (direct):
Al  0.2389  0.2389  0.2218  4 Al 2.75-2.83, 3 Mo 2.75-2.85, 3 Cd 2.84-3.01
Al  0.7611  0.7611  0.7782  4 Al 2.75-2.83, 3 Mo 2.75-2.85, 3 Cd 2.84-3.01
Cd  0.0000  0.0000  0.5000  2 Cd 2.83, 6 Al 2.84-3.01, 4 Mo 2.98
Mo  0.5000  0.5000  0.0000  6 Al 2.75-2.85, 2 Mo 2.83, 4 Cd 2.98

Properties
* total DFT energy (no corrections): -4.712 eV/atom
* formation energy: 96 meV per atom
* space-group type: C2/m, No. 12

---

First-principles (PBE) data for a relaxed structure of CsPtIN2, as listed in Alexandria via LeMat-Bulk.

Lattice parameters (Å, degrees): 4.5292 4.5292 5.6907 90.00 90.00 90.00
With the nearest neighbours (Å) after each atom.
Positions (direct):
Cs  0.0000  0.0000  0.0000  4 I 3.20
Pt  0.5000  0.5000  0.5000  4 N 2.26
I  0.5000  0.5000  0.0000  2 Pt 2.85
N  0.0000  0.5000  0.5000  2 Pt 2.26
N  0.5000  0.0000  0.5000  2 Pt 2.26

Properties
* total DFT energy (no corrections): -3.699 eV/atom
* raw formation energy: 1320 meV per atom
* space-group type: P4/mmm, No. 123
* ΔE to the lowest computed polymorph: 0.000 eV per atom

---

First-principles (PBE) data for a relaxed structure of Zr6H2C3S, as listed in Alexandria via LeMat-Bulk.

Lattice parameters (Å, degrees): 7.6524 7.6524 6.9149 104.47 104.47 25.59
With the nearest neighbours (Å) after each atom.
Positions (direct):
Zr  0.0097  0.0097  0.2268  3 C 2.27-2.29
Zr  0.3256  0.3256  0.4358  3 C 2.29-2.33, 1 S 2.53
Zr  0.3332  0.3332  0.9052  3 H 2.28-2.37, 3 C 2.35-2.41
Zr  0.6667  0.6667  0.0948  3 H 2.28-2.37, 3 C 2.35-2.41
Zr  0.6744  0.6744  0.5642  3 C 2.29-2.33, 1 S 2.53
Zr  0.9903  0.9903  0.7732  3 C 2.27-2.29
H  0.1767  0.1767  0.8615  3 Zr 2.28-2.37
H  0.8233  0.8233  0.1385  3 Zr 2.28-2.37
C  0.1669  0.1669  0.3293  6 Zr 2.27-2.35
C  0.5000  0.5000  0.0000  6 Zr 2.29-2.41
C  0.8331  0.8331  0.6707  6 Zr 2.27-2.35
S  0.5000  0.5000  0.5000  6 Zr 2.53-2.57

Properties
* total DFT energy (no corrections): -8.320 eV/atom
* space-group type: C2/m, No. 12

---

First-principles (PBE) data for a relaxed structure of TeAsIr2, as listed in Alexandria via LeMat-Bulk.

Lattice parameters (Å, degrees): 4.3782 4.3782 5.5309 98.05 98.05 48.06
With the nearest neighbours (Å) after each atom.
Positions (direct):
Te  0.0000  0.0000  0.0000  5 Ir 2.72-2.91
As  0.8061  0.8061  0.4503  5 Ir 2.36-2.49
Ir  0.2680  0.2680  0.7522  2 As 2.49, 3 Te 2.72-2.78
Ir  0.5080  0.5080  0.4184  3 As 2.36-2.43

Properties
* total DFT energy (no corrections): -6.253 eV/atom
* raw formation energy: 126 meV per atom
* space-group type: Cm, No. 8
* ΔE to the lowest computed polymorph: 0.257 eV per atom